Below is crystalline La2SnH at its relaxed geometry, with properties calculated at the GGA-PBE level.

Unit cell a=3.635 b=15.345 c=6.883 alpha=90.00 beta=90.00 gamma=90.00
Fractional coordinates of all 16 atoms:
1 La 0.000 0.148 0.003
2 La 0.000 0.148 0.497
3 La 0.000 0.852 0.503
4 La 0.000 0.852 0.997
5 La 0.500 0.352 0.503
6 La 0.500 0.352 0.997
7 La 0.500 0.648 0.003
8 La 0.500 0.648 0.497
9 Sn 0.000 0.499 0.250
10 Sn 0.000 0.501 0.750
11 Sn 0.500 0.001 0.750
12 Sn 0.500 0.999 0.250
13 H 0.000 0.278 0.750
14 H 0.000 0.722 0.250
15 H 0.500 0.222 0.250
16 H 0.500 0.778 0.750

Results
* SG: Cmcm (63)
* spin magnetization: 0.00 μB per cell
* polymorph energy (0 for the lowest one): 15.7 kJ per mole of atoms
* volume: 24.0 Å³/atom
* VASP energy: -0.3500 Ry/atom